# CePr4Sm8

Crystalline CePr4Sm8 at its relaxed geometry (PBE, Alexandria).

formation energy from the elements = 498 meV/atom
crystal system = trigonal

Cell: 11.1978 11.1978 13.6654 Å, 90.00 90.00 120.00°
Space group R-3m (No. 166, hexagonal axes)
Unique sites:
Ce  0.0000  0.0000  0.0000 [3 per cell]
Pr  0.0000  0.0000  0.5000 [3 per cell]
Pr  0.0000  0.5000  0.5000 [9 per cell]
Sm  0.0000  0.0000  0.2594 [6 per cell]
Sm  0.0121  0.5060  0.2462 [18 per cell]